Ag3PdBr2Cl6 after structural relaxation, computed with PBE.

Values from the calculation:
Electronic total energy = -64.5 eV per cell

Cell lengths 13.6757, 7.5053, 5.8479 Å; angles 90.00, 92.53, 90.00 degrees
Closest atoms and distances in Å follow each position.
Space group C2/m (No. 12)
Unique sites:
Ag1 0.0000 0.0000 0.0000 [2 per cell]  2 Br 2.65, 4 Cl 2.80
Ag2 0.2500 0.2500 0.5000 [4 per cell]  2 Br 2.73, 4 Cl 2.73-2.80
Pd1 0.0000 0.5000 0.5000 [2 per cell]  6 Cl 2.35-2.39
Br1 0.1778 0.0000 0.1995 [4 per cell]  3 Ag 2.65-2.73
Cl1 0.0757 0.2707 0.7307 [8 per cell]  1 Pd 2.39
Cl2 0.1377 0.5000 0.2726 [4 per cell]  1 Pd 2.35

Ca2TbNd after structural relaxation, computed with PBE.

Values from the calculation:
Energy of formation from the pure elements = 0.1120 eV/atom
Relative energy among the computed polymorphs = 0.27 eV/f.u.

Cell lengths 3.6940, 3.6940, 37.1189 Å; angles 90.00, 90.00, 120.00 degrees
Closest atoms and distances in Å follow each position.
Space group R3m (No. 160, hexagonal axes)
Unique sites:
Ca1 0.0000 0.0000 0.0000 [3 per cell]  6 Ca 3.69, 3 Tb 3.73, 3 Nd 3.77
Ca2 0.0000 0.0000 0.1678 [3 per cell]  6 Ca 3.69, 3 Tb 3.75, 3 Nd 3.78
Tb1 0.0000 0.0000 0.5843 [3 per cell]  6 Tb 3.69, 6 Ca 3.73-3.75
Nd1 0.0000 0.0000 0.7503 [3 per cell]  6 Nd 3.69, 6 Ca 3.77-3.78

HfAl2Ag after structural relaxation, computed with PBE.

Values from the calculation:
Energy of formation from the pure elements = 0.2293 eV/atom
Relative energy among the computed polymorphs = 2.04 eV/f.u.

Cell lengths 2.9749, 2.9749, 30.2791 Å; angles 90.00, 90.00, 120.00 degrees
Closest atoms and distances in Å follow each position.
Space group R-3m (No. 166, hexagonal axes)
Unique sites:
Hf1 0.0000 0.0000 0.0000 [3 per cell]  2 Al 2.82, 6 Hf 2.97
Al1 0.0000 0.0000 0.0932 [6 per cell]  3 Ag 2.81, 1 Hf 2.82, 6 Al 2.97
Ag1 0.0000 0.0000 0.5000 [3 per cell]  6 Al 2.81, 6 Ag 2.97

K2ReSe5 after structural relaxation, computed with PBE.

Values from the calculation:
Electronic total energy = -72.3 eV per cell

Cell lengths 13.1367, 5.9833, 8.0636 Å; angles 90.00, 127.86, 90.00 degrees
Closest atoms and distances in Å follow each position.
Space group Cm (No. 8)
Unique sites:
K1 0.0000 0.0000 0.0000 [2 per cell]  8 Se 3.61-3.65
K2 0.0447 0.5000 0.5454 [2 per cell]  2 Se 3.00
Re1 0.3401 0.5000 0.3394 [2 per cell]  5 Se 2.27-2.46
Se1 0.0595 0.0000 0.5582 [2 per cell]  1 Re 2.27
Se2 0.2712 0.2375 0.0537 [4 per cell]  1 Re 2.46
Se3 0.2716 0.2378 0.4881 [4 per cell]  1 Re 2.46

Y2ZnGa3Ni12 after structural relaxation, computed with PBE.

Values from the calculation:
Energy of formation from the pure elements = -0.1497 eV/atom

Cell lengths 8.4755, 8.4755, 12.0953 Å; angles 90.00, 90.00, 120.00 degrees
Closest atoms and distances in Å follow each position.
Space group R-3m (No. 166, hexagonal axes)
Unique sites:
Y1 0.0000 0.0000 0.1688 [6 per cell]  9 Ni 2.60-2.82
Zn1 0.0000 0.0000 0.5000 [3 per cell]  6 Ni 2.36
Ga1 0.0000 0.5000 0.0000 [9 per cell]  6 Ni 2.43-2.59
Ni1 0.0096 0.5048 0.6065 [18 per cell]  2 Ni 2.34-2.58, 2 Ga 2.59
Ni2 0.0164 0.5082 0.2010 [18 per cell]  3 Ni 2.34-2.47, 1 Zn 2.36, 1 Ga 2.43, 1 Y 2.60

MnMo3 after structural relaxation, computed with PBE.

Values from the calculation:
Energy of formation from the pure elements = 0.3223 eV/atom

Cell lengths 5.5091, 5.5091, 9.2667 Å; angles 90.00, 90.00, 120.00 degrees
Closest atoms and distances in Å follow each position.
Space group P6_3/mmc (No. 194)
Unique sites:
Mn1 0.0000 0.0000 0.0000 [2 per cell]  12 Mo 2.75-2.81
Mn2 0.3333 0.6667 0.2500 [2 per cell]  12 Mo 2.75-2.81
Mo1 0.0000 0.5000 0.0000 [6 per cell]  4 Mn 2.75-2.81, 8 Mo 2.75-2.81
Mo2 0.1675 0.3349 0.7500 [6 per cell]  8 Mo 2.74-2.81, 4 Mn 2.75-2.81

Rb2CrPd2 after structural relaxation, computed with PBE.

Values from the calculation:
Energy of formation from the pure elements = 0.6465 eV/atom
Relative energy among the computed polymorphs = 0.00 eV/f.u.

Cell lengths 3.7540, 3.7540, 22.8104 Å; angles 90.00, 90.00, 90.00 degrees
Closest atoms and distances in Å follow each position.
Space group I4/mmm (No. 139)
Unique sites:
Rb1 0.0000 0.0000 0.1267 [4 per cell]  4 Pd 3.38, 4 Rb 3.75
Cr1 0.0000 0.0000 0.5000 [2 per cell]  4 Cr 3.75, 8 Rb 3.92
Pd1 0.0000 0.5000 0.2500 [4 per cell]  4 Pd 2.65

K3FeSe after structural relaxation, computed with PBE.

Values from the calculation:
Relative energy among the computed polymorphs = 0.00 eV/f.u.

Cell lengths 6.2688, 6.2688, 6.2688 Å; angles 90.00, 90.00, 90.00 degrees
Closest atoms and distances in Å follow each position.
Space group Pm-3m (No. 221)
Unique sites:
K1 0.0000 0.0000 0.5000 [3 per cell]  2 Se 3.13
Fe1 0.5000 0.5000 0.5000 [1 per cell]  12 K 4.43
Se1 0.0000 0.0000 0.0000 [1 per cell]  6 K 3.13

What did we get for density? Answer: 4.44; 4.35; 7.31; 4.37; 7.66; 9.35; 4.50; 1.70 g/cm3, in the order shown.